Pu4NiAs8 | GGA-PBE | optimized geometry

Cell and atoms, written as POSCAR:
```
Pu4NiAs8
1.0
4.0721 0.0000 0.0000
0.0000 4.1570 0.0000
0.0000 0.0000 15.7822
Pu Ni As
4 1 8
direct
0.0000 0.0000 0.0000
0.0000 0.5000 0.2056
0.5000 0.0000 0.4893
0.5000 0.5000 0.7030
0.0000 0.0000 0.7891
0.0000 0.0000 0.3469
0.0000 0.0000 0.6428
0.0000 0.5000 0.5273
0.0000 0.5000 0.8589
0.5000 0.0000 0.1552
0.5000 0.0000 0.8604
0.5000 0.5000 0.0533
0.5000 0.5000 0.3470
```

Properties
- Energy of formation from the pure elements: -0.67 eV/atom
- Space-group type: Pmm2 (25)
- E: -109.01 eV/cell
- M_tot: 0.843 μB per atom
- N(E_F): 35.00 states/eV/f.u.

---

Sm4DyZn | GGA-PBE | optimized geometry

Cell and atoms, written as POSCAR:
```
Sm4DyZn
1.0
4.4680 -6.8378 0.0000
4.4680 6.8378 0.0000
-2.0251 0.0000 5.9977
Sm Dy Zn
8 2 2
direct
0.0793 0.7138 0.9503
0.1651 0.3904 0.6242
0.2862 0.9207 0.5497
0.3904 0.1651 0.1242
0.6096 0.8349 0.8758
0.7138 0.0793 0.4503
0.8349 0.6096 0.3758
0.9207 0.2862 0.0497
0.4068 0.5932 0.2500
0.5932 0.4068 0.7500
0.0004 0.9996 0.2500
0.9996 0.0004 0.7500
```

Properties
- Energy of formation from the pure elements: 0.00 eV/atom
- Space-group type: C2/c (15)
- E: -49.46 eV/cell
- M_tot: 0.000 μB per atom
- N(E_F): 8.11 states/eV/f.u.
- Excess energy over the best structure of this formula in the dataset: 0.60 eV per formula unit

---

Tb2Pm6Nd3Er | GGA-PBE | optimized geometry

Cell and atoms, written as POSCAR:
```
Tb2Pm6Nd3Er
1.0
3.1479 -5.4528 0.0000
3.1479 5.4528 0.0000
-2.1011 0.0000 11.8384
Tb Pm Nd Er
2 6 3 1
direct
0.1667 0.8333 0.0000
0.8333 0.1667 0.0000
0.0847 0.4176 0.7539
0.2494 0.2494 0.2462
0.4176 0.0847 0.7539
0.5824 0.9153 0.2461
0.7506 0.7506 0.7538
0.9153 0.5824 0.2461
0.0000 0.0000 0.5000
0.3334 0.6666 0.5000
0.6666 0.3334 0.5000
0.5000 0.5000 0.0000
```

Properties
- Energy of formation from the pure elements: 0.01 eV/atom
- Space-group type: C2/m (12)
- E: -56.45 eV/cell
- M_tot: 0.000 μB per atom
- N(E_F): 16.68 states/eV/f.u.

---

Question: Among the records above, which one has the lowest N(E_F)?
Answer: Sm4DyZn

---

Question: M_tot of number 2 (Sm4DyZn)?
Answer: 0.000 μB per atom

---

Question: E of number 3 (Tb2Pm6Nd3Er)?
Answer: -56.45 eV/cell

---

Question: What is the formula in the second record?
Answer: Sm4DyZn